[1]
This record from Alexandria describes a relaxed structure of Li4Tm3MnS8. The functional is PBE-GGA.

Computed properties:
D(E_F) (states/eV/f.u.): 2.4
SG: R-3m (166)
DFT total energy (eV per formula unit): -88.53
Formation energy without anion corrections (eV/atom): -1.579

Structure (POSCAR):
```
Li4Tm3MnS8
1.0
3.7793 2.1820 6.1341
-3.7793 2.1820 6.1341
0.0000 -4.3639 6.1341
Li Tm Mn S
4 3 1 8
Direct
0.0000 0.0000 0.0000
0.0000 0.5000 0.5000
0.5000 0.0000 0.5000
0.5000 0.5000 0.0000
0.0000 0.0000 0.5000
0.0000 0.5000 0.0000
0.5000 0.0000 0.0000
0.5000 0.5000 0.5000
0.2503 0.2503 0.2503
0.2615 0.2615 0.7349
0.2615 0.7349 0.2615
0.2651 0.7385 0.7385
0.7349 0.2615 0.2615
0.7385 0.2651 0.7385
0.7385 0.7385 0.2651
0.7497 0.7497 0.7497
```

---

[2]
This record from Alexandria describes a relaxed structure of Dy2Al5Rh3. The functional is PBE-GGA.

Computed properties:
D(E_F) (states/eV/f.u.): 5.3
SG: Cmc2_1 (36)
DFT total energy (eV per formula unit): -58.18

Structure (POSCAR):
```
Dy2Al5Rh3
1.0
2.1214 -12.4182 0.0000
2.1214 12.4182 0.0000
0.0000 0.0000 6.7821
Dy Al Rh
4 10 6
Direct
0.0233 0.9767 0.5000
0.3246 0.6754 0.4275
0.6754 0.3246 0.9275
0.9767 0.0233 0.0000
0.0998 0.9002 0.1241
0.2069 0.7931 0.6096
0.2118 0.7882 0.2167
0.3709 0.6291 0.9618
0.4447 0.5553 0.3298
0.5553 0.4447 0.8298
0.6291 0.3709 0.4618
0.7882 0.2118 0.7167
0.7931 0.2069 0.1096
0.9002 0.0998 0.6241
0.1094 0.8906 0.7425
0.2706 0.7294 0.9105
0.4521 0.5479 0.7120
0.5479 0.4521 0.2120
0.7294 0.2706 0.4105
0.8906 0.1094 0.2425
```

---

[3]
This record from Alexandria describes a relaxed structure of CeMg2Si2Ge. The functional is PBE-GGA.

Computed properties:
D(E_F) (states/eV/f.u.): 8.2
SG: I4/mmm (139)
DFT total energy (eV per formula unit): -23.42
Formation energy without anion corrections (eV/atom): 0.195

Structure (POSCAR):
```
CeMg2Si2Ge
1.0
-2.6499 2.6499 5.1269
2.6499 -2.6499 5.1269
2.6499 2.6499 -5.1269
Ce Mg Si Ge
1 2 2 1
Direct
0.0000 0.0000 0.0000
0.2500 0.7500 0.5000
0.7500 0.2500 0.5000
0.2715 0.2715 0.0000
0.7285 0.7285 0.0000
0.5000 0.5000 0.0000
```